Arrangement i

5
Lattice="4.9275 0.0000 0.0000 0.0000 4.9275 0.0000 0.0000 0.0000 4.8637" Properties=species:S:1:pos:R:3 comment="BAs2WSe | Alexandria via LeMat-Bulk | GGA-PBE | optimized geometry" magmom_total_mub_per_cell=0.0 pbc="T T T"
As 0.0000 2.4637 0.0000
As 2.4637 0.0000 0.0000
W 0.0000 0.0000 0.0000
Se 0.0000 0.0000 2.4318
B 2.4637 2.4637 2.4318

Arrangement ii

5
Lattice="4.3124 0.0000 0.0000 0.0000 4.3124 0.0000 0.0000 0.0000 4.3244" Properties=species:S:1:pos:R:3 comment="BAs2WSe | Alexandria via LeMat-Bulk | GGA-PBE | optimized geometry" magmom_total_mub_per_cell=0.0 pbc="T T T"
W 2.1562 2.1562 2.1622
As 0.0000 2.1562 0.0000
As 2.1562 0.0000 0.0000
Se 0.0000 0.0000 2.1622
B 0.0000 0.0000 0.0000

Most stable one: arrangement ii, least stable one: arrangement i.

Arrangement i

5
Lattice="-4.3854 -0.3314 -0.2032 0.3887 -3.7087 -2.3404 0.0049 -2.2850 3.6217" Properties=species:S:1:pos:R:3 comment="BAsWSe2 | Alexandria via LeMat-Bulk | GGA-PBE | optimized geometry" magmom_total_mub_per_cell=2.0 pbc="T T T"
Se 0.1944 -1.8543 -1.1702
Se -2.1927 -0.1657 -0.1016
B 0.0000 0.0000 0.0000
As 0.0024 -1.1425 1.8109
W -1.9959 -3.1626 0.5391

Arrangement ii

5
Lattice="4.9226 0.0000 0.0000 0.0000 4.9226 0.0000 0.0000 0.0000 4.9310" Properties=species:S:1:pos:R:3 comment="BAsWSe2 | Alexandria via LeMat-Bulk | GGA-PBE | optimized geometry" magmom_total_mub_per_cell=0.0 pbc="T T T"
B 2.4613 2.4613 2.4655
Se 2.4613 0.0000 0.0000
Se 0.0000 2.4613 0.0000
As 0.0000 0.0000 2.4655
W 0.0000 0.0000 0.0000

Most stable one: arrangement i, least stable one: arrangement ii.

Arrangement i

5
Lattice="-3.8011 -0.1123 2.4357 0.1555 -4.5131 0.0346 2.5030 0.1162 3.9116" Properties=species:S:1:pos:R:3 comment="YBAs2Se | Alexandria via LeMat-Bulk | GGA-PBE | optimized geometry" magmom_total_mub_per_cell=0.0 pbc="T T T"
B 0.0000 0.0000 0.0000
Se 1.2515 0.0581 1.9558
As 0.0777 -2.2565 0.0173
As -1.9005 -0.0561 1.2178
Y -0.5713 -2.2546 3.1909

Arrangement ii

5
Lattice="5.4491 0.0000 0.0000 0.0000 5.4491 0.0000 0.0000 0.0000 5.4164" Properties=species:S:1:pos:R:3 comment="YBAs2Se | Alexandria via LeMat-Bulk | GGA-PBE | optimized geometry" magmom_total_mub_per_cell=0.0 pbc="T T T"
Y 0.0000 0.0000 0.0000
B 2.7245 2.7245 2.7082
As 0.0000 2.7245 0.0000
As 2.7245 0.0000 0.0000
Se 0.0000 0.0000 2.7082

Most stable one: arrangement i, least stable one: arrangement ii.

Arrangement i

5
Lattice="-4.2819 -1.4726 -1.4781 -0.0294 -3.3315 3.4042 -2.2160 3.2603 3.1714" Properties=species:S:1:pos:R:3 comment="ZnBAs2Se | Alexandria via LeMat-Bulk | GGA-PBE | optimized geometry" magmom_total_mub_per_cell=0.0 pbc="T T T"
B -3.2637 -0.7719 2.5488
As -2.1410 -0.7363 -0.7390
As -0.0147 -1.6657 1.7021
Se -1.1080 1.6301 1.5857
Zn 0.0000 0.0000 0.0000

Arrangement ii

5
Lattice="-0.5791 -1.1225 -4.2866 -3.8821 -1.9558 1.0366 -2.1298 3.8462 -0.7194" Properties=species:S:1:pos:R:3 comment="ZnBAs2Se | Alexandria via LeMat-Bulk | GGA-PBE | optimized geometry" magmom_total_mub_per_cell=0.0 pbc="T T T"
As -0.2896 -0.5613 -2.1433
As -1.9410 -0.9779 0.5183
B 0.0000 0.0000 0.0000
Zn -3.2955 0.3839 -1.9847
Se -1.0649 1.9231 -0.3597

Most stable one: arrangement ii, least stable one: arrangement i.

Arrangement i

5
Lattice="4.9948 0.0000 0.0000 0.0000 4.9948 0.0000 0.0000 0.0000 4.6968" Properties=species:S:1:pos:R:3 comment="ZnBAsSe2 | Alexandria via LeMat-Bulk | GGA-PBE | optimized geometry" magmom_total_mub_per_cell=0.0 pbc="T T T"
Se 0.0000 2.4974 0.0000
Se 2.4974 0.0000 0.0000
B 2.4974 2.4974 2.3484
Zn 0.0000 0.0000 0.0000
As 0.0000 0.0000 2.3484

Arrangement ii

5
Lattice="-1.4558 -4.4973 0.6650 2.9476 -0.4021 3.7333 -2.9197 1.3067 2.4460" Properties=species:S:1:pos:R:3 comment="ZnBAsSe2 | Alexandria via LeMat-Bulk | GGA-PBE | optimized geometry" magmom_total_mub_per_cell=0.0 pbc="T T T"
B 0.0000 0.0000 0.0000
Se 1.4738 -0.2011 1.8666
Se -0.7279 -2.2487 0.3325
As -1.4598 0.6534 1.2230
Zn -0.7139 -1.7964 3.4221

Most stable one: arrangement ii, least stable one: arrangement i.

Arrangement i

5
Lattice="5.2528 0.0000 0.0000 0.0000 5.2528 0.0000 0.0000 0.0000 5.2528" Properties=species:S:1:pos:R:3 comment="SnBAs3 | Alexandria via LeMat-Bulk | GGA-PBE | optimized geometry" magmom_total_mub_per_cell=0.0 pbc="T T T"
As 0.0000 2.6264 0.0000
As 0.0000 0.0000 2.6264
As 2.6264 0.0000 0.0000
B 2.6264 2.6264 2.6264
Sn 0.0000 0.0000 0.0000

Arrangement ii

5
Lattice="-0.1795 -2.4148 3.8456 4.2808 -1.3738 -0.6629 1.5148 3.5963 2.3289" Properties=species:S:1:pos:R:3 comment="SnBAs3 | Alexandria via LeMat-Bulk | GGA-PBE | optimized geometry" magmom_total_mub_per_cell=0.0 pbc="T T T"
As -0.0897 -1.2074 1.9228
As 2.1404 -0.6869 -0.3314
As 0.7574 1.7981 1.1645
Sn 2.8080 -0.0961 2.7558
B 0.0000 0.0000 0.0000

Most stable one: arrangement ii, least stable one: arrangement i.

Arrangement i

5
Lattice="4.8506 0.0000 0.0000 0.0000 4.8506 0.0000 0.0000 0.0000 4.8506" Properties=species:S:1:pos:R:3 comment="Sn3BAs | Alexandria via LeMat-Bulk | GGA-PBE | optimized geometry" magmom_total_mub_per_cell=0.0 pbc="T T T"
B 0.0000 0.0000 0.0000
Sn 0.0000 0.0000 2.4253
Sn 0.0000 2.4253 0.0000
Sn 2.4253 0.0000 0.0000
As 2.4253 2.4253 2.4253

Arrangement ii

5
Lattice="-0.0480 -2.3945 -4.8666 -1.0235 -4.7753 2.3597 -5.3263 0.9392 -0.4096" Properties=species:S:1:pos:R:3 comment="Sn3BAs | Alexandria via LeMat-Bulk | GGA-PBE | optimized geometry" magmom_total_mub_per_cell=0.0 pbc="T T T"
As 0.0000 0.0000 0.0000
Sn -0.5118 -2.3877 1.1798
Sn -2.6631 0.4696 -0.2048
Sn -0.0240 -1.1972 -2.4333
B -3.1989 -3.1153 -1.4582

Most stable one: arrangement i, least stable one: arrangement ii.